[1]
VASP calculation (PBE) on a relaxed structure of SrLa2Cd.

Cell lengths 6.423, 6.423, 6.423 Å; angles 133.37, 133.37, 68.08 degrees
Fractional positions:
Sr  0.000  0.000  0.000
La  0.250  0.750  0.500
La  0.750  0.250  0.500
Cd  0.500  0.500  0.000

Calculated values
Total moment   0.0 μB/cell
Space group   I4/mmm
Theoretical density   5.8 g cm⁻³
Formation energy   -0.003 eV per atom

---

[2]
VASP calculation (PBE) on a relaxed structure of GaPI2N.

Cell lengths 6.237, 6.237, 3.370 Å; angles 90.00, 90.00, 90.00 degrees
Fractional positions:
Ga  0.000  0.000  0.000
P  0.500  0.500  0.500
I  0.000  0.500  0.500
I  0.500  0.000  0.500
N  0.500  0.500  0.000

Calculated values
Total moment   0.0 μB/cell
Space group   P4/mmm
Theoretical density   4.7 g cm⁻³
Energy above the most stable polymorph in this dataset   0 meV/atom

---

[3]
VASP calculation (PBE) on a relaxed structure of Pm3Pr2Sm2.

Cell lengths 3.619, 5.677, 12.348 Å; angles 76.92, 81.58, 89.97 degrees
Fractional positions:
Pm  0.000  0.000  0.000
Pm  0.223  0.724  0.553
Pm  0.777  0.276  0.447
Pr  0.421  0.422  0.156
Pr  0.579  0.578  0.844
Sm  0.145  0.144  0.714
Sm  0.855  0.856  0.286

Calculated values
Total moment   0.0 μB/cell
Space group   P-1
Theoretical density   6.9 g cm⁻³
Formation energy   0.035 eV per atom
Energy above the most stable polymorph in this dataset   0 meV/atom

---

[4]
VASP calculation (PBE) on a relaxed structure of InCu2SiNi.

Cell lengths 4.335, 4.335, 5.124 Å; angles 90.00, 90.00, 90.00 degrees
Fractional positions:
In  0.000  0.000  0.000
Cu  0.000  0.500  0.500
Cu  0.500  0.000  0.500
Si  0.000  0.000  0.500
Ni  0.500  0.500  0.000

Calculated values
Total moment   0.3 μB/cell
Space group   P4/mmm
Final energy   -0.2684 Ry/atom
Theoretical density   5.7 g cm⁻³